Record 1
The following is a PBE calculation of an optimized crystal structure of Pm4ErSe5, from the Open Quantum Materials Database.

The structure in POSCAR format:
```
Pm4ErSe5
1.0
-11.028 -1.086 13.085
-10.539 -5.171 12.499
-7.878 -3.085 14.915
Er Pm Se
1 4 5
Cartesian
-14.722 -4.671 20.250
-2.983 -0.946 4.102
-8.813 -2.796 12.122
-20.631 -6.545 28.377
-26.462 -8.395 36.397
0.000 0.000 0.000
-5.809 -1.843 7.990
-11.810 -3.747 16.244
-17.635 -5.595 24.255
-23.636 -7.498 32.509
```

Calculated total energy = -0.4342 Ry/atom
Symmetry = R-3m, No. 166
Density = 7468 kg/m³

---

Record 2
The following is a PBE calculation of an optimized crystal structure of PmErSi, from the Open Quantum Materials Database.

The structure in POSCAR format:
```
PmErSi
1.0
3.524 1.662 2.956
-0.219 4.566 1.739
-0.943 0.770 4.737
Er Pm Si
1 1 1
Cartesian
0.591 1.749 2.358
1.772 5.248 7.075
0.000 0.000 0.000
```

Calculated total energy = -0.3941 Ry/atom
Symmetry = F-43m, No. 216
Density = 6831 kg/m³

---

Record 3
The following is a PBE calculation of an optimized crystal structure of Pm3Er2Sn3, from the Open Quantum Materials Database.

The structure in POSCAR format:
```
Pm3Er2Sn3
1.0
-8.819 1.206 1.861
2.888 -7.926 -3.394
0.985 -2.269 6.137
Er Pm Sn
4 6 6
Cartesian
-4.916 -1.838 0.109
-1.014 -4.882 -1.643
-4.424 -2.973 3.178
-0.522 -6.017 1.426
-6.442 0.347 2.946
-1.187 -2.191 1.164
2.436 -6.578 -1.040
-1.392 -1.411 5.053
1.436 -3.617 3.783
-3.759 -6.798 3.440
-3.262 -0.087 2.275
1.395 -3.721 0.184
-3.325 -4.614 0.611
-4.571 -0.976 5.724
-1.621 -4.376 3.993
2.477 -6.475 2.559
```

Calculated total energy = -0.3779 Ry/atom
Symmetry = P6_3/mcm, No. 193
Density = 7889 kg/m³

---

Record 4
The following is a PBE calculation of an optimized crystal structure of SrPmEr, from the Open Quantum Materials Database.

The structure in POSCAR format:
```
SrPmEr
1.0
5.419 -1.269 1.496
1.827 1.038 5.366
1.047 -4.387 3.587
Er Pm Sr
1 1 1
Cartesian
0.000 0.000 0.000
2.073 -1.154 2.612
6.219 -3.463 7.837
```

Calculated total energy = -0.2116 Ry/atom
Distance to the lowest polymorph of the same formula = 0.0 kJ/mol of atoms
Symmetry = F-43m, No. 216
Density = 4906 kg/m³

---

Record 5
The following is a PBE calculation of an optimized crystal structure of PmErTa, from the Open Quantum Materials Database.

The structure in POSCAR format:
```
PmErTa
1.0
0.000 3.553 3.553
3.553 0.000 3.553
3.553 3.553 0.000
Er Pm Ta
1 1 1
Cartesian
0.000 0.000 0.000
1.777 1.777 1.777
5.330 5.330 5.330
```

Calculated total energy = -0.4243 Ry/atom
Distance to the lowest polymorph of the same formula = 0.0 kJ/mol of atoms
DFT formation energy = 1281 meV per atom
Symmetry = F-43m, No. 216
Density = 9127 kg/m³

---

Record 6
The following is a PBE calculation of an optimized crystal structure of TbPmEr, from the Open Quantum Materials Database.

The structure in POSCAR format:
```
TbPmEr
1.0
2.809 -2.676 3.801
0.904 2.304 4.835
-2.529 -1.885 4.422
Er Pm Tb
1 1 1
Cartesian
0.000 0.000 0.000
0.296 -0.564 3.264
0.888 -1.693 9.793
```

Calculated total energy = -0.2893 Ry/atom
Distance to the lowest polymorph of the same formula = 0.0 kJ/mol of atoms
DFT formation energy = 709 meV per atom
Symmetry = F-43m, No. 216
Density = 6906 kg/m³

---

Record 7
The following is a PBE calculation of an optimized crystal structure of PmErTe, from the Open Quantum Materials Database.

The structure in POSCAR format:
```
PmErTe
1.0
-0.825 -4.531 2.191
-2.851 -0.312 4.217
-4.631 -2.126 -0.205
Er Pm Te
1 1 1
Cartesian
-2.077 -1.742 1.551
-6.230 -5.227 4.652
0.000 0.000 0.000
```

Calculated total energy = -0.3432 Ry/atom
Symmetry = F-43m, No. 216
Density = 7788 kg/m³

---

Record 8
The following is a PBE calculation of an optimized crystal structure of PmEr2Tl3, from the Open Quantum Materials Database.

The structure in POSCAR format:
```
PmEr2Tl3
1.0
3.751 0.000 0.000
0.000 3.751 0.000
0.000 0.000 11.609
Er Pm Tl
2 1 3
Cartesian
1.876 1.876 1.880
1.876 1.876 9.729
1.876 1.876 5.805
0.000 0.000 0.000
0.000 0.000 3.750
0.000 0.000 7.859
```

Calculated total energy = -0.2817 Ry/atom
Symmetry = P4/mmm, No. 123
Density = 11105 kg/m³

---

Number 7 is which compound? PmErTe

---

Please write out number 4 again, unchanged.
The following is a PBE calculation of an optimized crystal structure of SrPmEr, from the Open Quantum Materials Database.

The structure in POSCAR format:
```
SrPmEr
1.0
5.419 -1.269 1.496
1.827 1.038 5.366
1.047 -4.387 3.587
Er Pm Sr
1 1 1
Cartesian
0.000 0.000 0.000
2.073 -1.154 2.612
6.219 -3.463 7.837
```

Calculated total energy = -0.2116 Ry/atom
Distance to the lowest polymorph of the same formula = 0.0 kJ/mol of atoms
Symmetry = F-43m, No. 216
Density = 4906 kg/m³

---

Which value of calculated total energy does entry 4 give? -0.2116 Ry/atom